# 1
{
  "formula": "Cu2Hg3",
  "functional": "PBEsol",
  "state": "optimized geometry",
  "vol_a3_per_cell": 85.4,
  "magmom_total_mub_per_cell": 0.00,
  "mass_density_g_cm3": 14.18,
  "delta_e_f_kj_per_mol_fu": 68,
  "cell": [[3.0786, 0.0000, 0.0000], [0.0000, 3.0786, 0.0000], [-1.5393, -1.5393, 9.0058]],
  "species": ["Hg", "Hg", "Hg", "Cu", "Cu"],
  "frac_coords": [[0.0000, 0.0000, 0.0000], [0.8139, 0.8139, 0.6278], [0.1861, 0.1861, 0.3722], [0.4076, 0.4076, 0.8152], [0.5924, 0.5924, 0.1848]]
}

# 2
{
  "formula": "Cs2KSbCl6",
  "functional": "PBEsol",
  "state": "optimized geometry",
  "vol_a3_per_cell": 344.2,
  "raw_formation_energy_ev_per_atom": -1.562,
  "magmom_total_mub_per_cell": 0.00,
  "mass_density_g_cm3": 3.08,
  "cell": [[-4.6706, 2.8783, -5.6376], [-7.8161, -0.5136, 0.7250], [-4.2592, 6.4752, 1.3463]],
  "species": ["Cl", "Cl", "Cl", "Cl", "Cl", "Cl", "Cs", "Cs", "Sb", "K"],
  "frac_coords": [[0.2362, 0.7638, 0.2362], [0.7638, 0.2362, 0.7638], [0.7638, 0.2362, 0.2362], [0.2362, 0.7638, 0.7638], [0.7638, 0.7638, 0.2362], [0.2362, 0.2362, 0.7638], [0.2500, 0.2500, 0.2500], [0.7500, 0.7500, 0.7500], [0.0000, 0.0000, 0.0000], [0.5000, 0.5000, 0.5000]]
}